1.
## AcLa3Ga4 (PBE)

Data for crystalline AcLa3Ga4 at its relaxed geometry.

abc: 5.403 5.403 7.602
angles: 90.00 90.00 90.00
Space group P4/mmm (No. 123)
One atom of each set of equivalent atoms:
Ac (0.000, 0.000, 0.000)
La (0.000, 0.000, 0.500)
La (0.500, 0.500, 0.000)
La (0.500, 0.500, 0.500)
Ga (0.000, 0.500, 0.257)

Summary:
volume	221.90	Å³ per cell
formation energy from the elements	-528	meV per atom
uncorrected energy	-35.22	eV/cell


2.
## KAcAs2Pd4 (PBE)

Data for crystalline KAcAs2Pd4 at its relaxed geometry.

abc: 4.197 4.197 11.032
angles: 90.00 90.00 90.00
Space group P4/mmm (No. 123)
One atom of each set of equivalent atoms:
K (0.000, 0.000, 0.000)
Ac (0.000, 0.000, 0.500)
As (0.500, 0.500, 0.175)
Pd (0.000, 0.500, 0.293)

Summary:
volume	194.30	Å³ per cell
formation energy from the elements	-541	meV per atom
uncorrected energy	-39.60	eV/cell


3.
## BeCoSeN2 (PBE)

Data for crystalline BeCoSeN2 at its relaxed geometry.

abc: 3.313 3.313 6.339
angles: 90.00 90.00 90.00
Space group P4/mmm (No. 123)
One atom of each set of equivalent atoms:
Be (0.000, 0.000, 0.000)
Co (0.500, 0.500, 0.500)
Se (0.000, 0.000, 0.500)
N (0.000, 0.500, 0.000)

Summary:
volume	69.58	Å³ per cell
energy relative to the elements, uncorrected	1.14	eV per atom
uncorrected energy	-25.25	eV/cell